Density functional theory data (GGA+U) for a relaxed structure of Ac2GaCoO6.

Calculated values
The calculated density is 9229 kg/m3. Its uncorrected energy is -140.5 eV per cell. The space group is No. 12.

Cell: 5.6006 5.5566 7.8474 Å, 90.00 89.92 90.00°
Last column: nearest neighbours and their distance in Å.
Sites, in units of the cell vectors:
Ac  0.9990  0.0001  0.7496  7 O 2.58-2.79
O  0.9598  0.5001  0.2524  1 Co 1.96, 1 Ga 1.99
Co  0.5000  0.0000  0.0000  6 O 1.96
Ac  0.0010  0.9999  0.2504  7 O 2.58-2.79
O  0.4598  0.9999  0.7524  1 Co 1.96, 1 Ga 1.99
O  0.0402  0.4999  0.7476  1 Co 1.96, 1 Ga 1.99
O  0.7471  0.7526  0.9791  1 Co 1.96, 1 Ga 2.00
O  0.2529  0.2474  0.0209  1 Co 1.96, 1 Ga 2.00
O  0.2471  0.7473  0.4791  1 Co 1.96, 1 Ga 2.00
O  0.2531  0.7524  0.0209  1 Co 1.96, 1 Ga 2.00
O  0.7529  0.2527  0.5209  1 Co 1.96, 1 Ga 2.00
O  0.5402  0.0001  0.2476  1 Co 1.96, 1 Ga 1.99
Ga  0.0000  0.5000  0.0000  6 O 1.99-2.00
Ac  0.4990  0.4999  0.2496  7 O 2.58-2.79
O  0.7469  0.2476  0.9791  1 Co 1.96, 1 Ga 2.00
Ac  0.5010  0.5001  0.7504  7 O 2.58-2.79
O  0.2469  0.2524  0.4791  1 Co 1.96, 1 Ga 2.00
O  0.7531  0.7476  0.5209  1 Co 1.96, 1 Ga 2.00
Ga  0.5000  0.0000  0.5000  6 O 1.99-2.00
Co  0.0000  0.5000  0.5000  6 O 1.96